Entry 1:
# Th4GeTe2Pb

A relaxed Th4GeTe2Pb crystal (GGA-PBE, Alexandria via LeMat-Bulk).

Calculated values
**SG**: No. 10
**Uncorrected energy**: -50.9 eV/cell

abc: 7.714 4.454 7.815
angles: 90.00 109.32 90.00
Fractional positions:
Th: 0.224 0.000 0.223
Th: 0.236 0.500 0.766
Th: 0.764 0.500 0.234
Th: 0.776 0.000 0.777
Ge: 0.000 0.500 0.000
Te: 0.500 0.000 0.000
Te: 0.500 0.500 0.500
Pb: 0.000 0.000 0.500

***

Entry 2:
# AlPt2Rh

A relaxed AlPt2Rh crystal (GGA-PBE, Alexandria via LeMat-Bulk).

Calculated values
**ΔE_f**: -550 meV per atom
**SG**: No. 119

abc: 4.725 4.725 4.725
angles: 130.62 130.62 72.42
Fractional positions:
Al: 0.000 0.000 0.000
Pt: 0.250 0.750 0.500
Pt: 0.500 0.500 0.000
Rh: 0.750 0.250 0.500

***

Entry 3:
# Ac3Nd3Au4

A relaxed Ac3Nd3Au4 crystal (GGA-PBE, Alexandria via LeMat-Bulk).

Calculated values
**ΔE_f**: -631 meV per atom
**SG**: No. 38

abc: 4.098 8.642 8.642
angles: 90.01 90.00 90.00
Fractional positions:
Ac: 0.000 0.000 0.000
Ac: 0.000 0.491 0.823
Ac: 0.000 0.823 0.491
Nd: 0.000 0.328 0.328
Nd: 0.500 0.160 0.652
Nd: 0.500 0.652 0.160
Au: 0.500 0.042 0.296
Au: 0.500 0.296 0.042
Au: 0.500 0.523 0.523
Au: 0.500 0.791 0.791

***

Entry 4:
# AcTb3PmDy

A relaxed AcTb3PmDy crystal (GGA-PBE, Alexandria via LeMat-Bulk).

Calculated values
**ΔE_f**: 225 meV per atom
**SG**: No. 12

abc: 10.572 10.572 7.282
angles: 90.07 90.07 31.36
Fractional positions:
Ac: 0.143 0.143 0.475
Ac: 0.857 0.857 0.525
Tb: 0.021 0.021 0.780
Tb: 0.281 0.281 0.746
Tb: 0.332 0.332 0.221
Tb: 0.668 0.668 0.779
Tb: 0.719 0.719 0.254
Tb: 0.979 0.979 0.220
Pm: 0.444 0.444 0.794
Pm: 0.556 0.556 0.206
Dy: 0.152 0.152 0.032
Dy: 0.848 0.848 0.968

***

Entry 5:
# PrDy3Ni

A relaxed PrDy3Ni crystal (GGA-PBE, Alexandria via LeMat-Bulk).

Calculated values
**ΔE_f**: -100 meV per atom
**SG**: No. 194

abc: 7.502 7.502 5.916
angles: 90.00 90.00 120.00
Fractional positions:
Pr: 0.333 0.667 0.250
Pr: 0.667 0.333 0.750
Dy: 0.176 0.352 0.750
Dy: 0.176 0.824 0.750
Dy: 0.352 0.176 0.250
Dy: 0.648 0.824 0.750
Dy: 0.824 0.176 0.250
Dy: 0.824 0.648 0.250
Ni: 0.000 0.000 0.000
Ni: 0.000 0.000 0.500

***

Entry 6:
# CdCu6O8

A relaxed CdCu6O8 crystal (GGA-PBE, Alexandria via LeMat-Bulk).

Calculated values
**SG**: No. 225
**Uncorrected energy**: -74.4 eV/cell

abc: 6.549 6.549 6.549
angles: 60.00 60.00 60.00
Fractional positions:
Cd: 0.000 0.000 0.000
Cu: 0.000 0.000 0.500
Cu: 0.000 0.500 0.000
Cu: 0.000 0.500 0.500
Cu: 0.500 0.000 0.000
Cu: 0.500 0.000 0.500
Cu: 0.500 0.500 0.000
O: 0.145 0.145 0.145
O: 0.145 0.145 0.564
O: 0.145 0.564 0.145
O: 0.436 0.855 0.855
O: 0.564 0.145 0.145
O: 0.855 0.436 0.855
O: 0.855 0.855 0.436
O: 0.855 0.855 0.855

***

Entry 7:
# Ag2Sb2P

A relaxed Ag2Sb2P crystal (GGA-PBE, Alexandria via LeMat-Bulk).

Calculated values
**SG**: No. 127
**Uncorrected energy**: -34.9 eV/cell

abc: 8.285 8.285 3.295
angles: 90.00 90.00 90.00
Fractional positions:
Ag: 0.116 0.384 0.000
Ag: 0.384 0.884 0.000
Ag: 0.616 0.116 0.000
Ag: 0.884 0.616 0.000
Sb: 0.188 0.688 0.500
Sb: 0.312 0.188 0.500
Sb: 0.688 0.812 0.500
Sb: 0.812 0.312 0.500
P: 0.000 0.000 0.500
P: 0.500 0.500 0.500

***

Entry 8:
# CsBS2

A relaxed CsBS2 crystal (GGA-PBE, Alexandria via LeMat-Bulk).

Calculated values
**SG**: No. 1
**Uncorrected energy**: -38.2 eV/cell

abc: 5.947 6.017 9.480
angles: 84.22 82.76 70.13
Fractional positions:
Cs: 0.000 0.000 0.000
Cs: 0.382 0.406 0.495
B: 0.686 0.698 0.749
B: 0.691 0.703 0.248
S: 0.448 0.947 0.248
S: 0.537 0.528 0.838
S: 0.835 0.869 0.660
S: 0.934 0.460 0.247

***

Entry 9:
# Tb2CePm3Se6

A relaxed Tb2CePm3Se6 crystal (GGA-PBE, Alexandria via LeMat-Bulk).

Calculated values
**SG**: No. 12
**Uncorrected energy**: -72.1 eV/cell

abc: 9.304 9.304 8.378
angles: 102.99 102.99 25.74
Fractional positions:
Tb: 0.166 0.166 0.330
Tb: 0.834 0.834 0.670
Ce: 0.500 0.500 0.000
Pm: 0.165 0.165 0.834
Pm: 0.500 0.500 0.500
Pm: 0.835 0.835 0.166
Se: 0.003 0.003 0.252
Se: 0.331 0.331 0.422
Se: 0.332 0.332 0.910
Se: 0.668 0.668 0.090
Se: 0.669 0.669 0.578
Se: 0.997 0.997 0.748

***

Entry 10:
# GaSnHg2

A relaxed GaSnHg2 crystal (GGA-PBE, Alexandria via LeMat-Bulk).

Calculated values
**ΔE_f**: 64 meV per atom
**SG**: No. 2

abc: 4.667 7.045 7.099
angles: 95.49 102.39 109.31
Fractional positions:
Ga: 0.119 0.133 0.367
Ga: 0.881 0.867 0.633
Sn: 0.243 0.748 0.403
Sn: 0.757 0.252 0.597
Hg: 0.178 0.836 0.003
Hg: 0.442 0.542 0.791
Hg: 0.558 0.458 0.209
Hg: 0.822 0.164 0.997

***

Entry 11:
# SrNd2Ga4

A relaxed SrNd2Ga4 crystal (GGA-PBE, Alexandria via LeMat-Bulk).

Calculated values
**ΔE_f**: -536 meV per atom
**SG**: No. 71

abc: 9.929 9.929 9.929
angles: 155.30 153.25 36.72
Fractional positions:
Sr: 0.000 0.000 0.000
Nd: 0.184 0.684 0.500
Nd: 0.816 0.316 0.500
Ga: 0.353 0.853 0.500
Ga: 0.433 0.433 0.000
Ga: 0.567 0.567 0.000
Ga: 0.647 0.147 0.500

***

Entry 12:
# Sr3CuIrO6

A relaxed Sr3CuIrO6 crystal (GGA-PBE, Alexandria via LeMat-Bulk).

Calculated values
**SG**: No. 15
**Uncorrected energy**: -136.9 eV/cell

abc: 6.809 6.809 6.761
angles: 90.74 90.74 92.04
Fractional positions:
Sr: 0.101 0.899 0.750
Sr: 0.241 0.392 0.621
Sr: 0.392 0.241 0.121
Sr: 0.608 0.759 0.879
Sr: 0.759 0.608 0.379
Sr: 0.899 0.101 0.250
Cu: 0.309 0.691 0.250
Cu: 0.691 0.309 0.750
Ir: 0.000 0.500 0.000
Ir: 0.500 0.000 0.500
O: 0.072 0.222 0.931
O: 0.103 0.469 0.282
O: 0.222 0.072 0.431
O: 0.283 0.601 0.963
O: 0.399 0.717 0.537
O: 0.469 0.103 0.782
O: 0.531 0.897 0.218
O: 0.601 0.283 0.463
O: 0.717 0.399 0.037
O: 0.778 0.928 0.569
O: 0.897 0.531 0.718
O: 0.928 0.778 0.069